No. 1
# Tb2TmBe3Pt4 PBE optimized geometry
data_Tb2TmBe3Pt4
_space_group_name_H-M_alt 'P -4 m 2'
_space_group_IT_number 115
_space_group_name_Hall 'P -4 -2'
_cell_length_a 4.0325
_cell_length_b 4.0325
_cell_length_c 10.7833
_cell_angle_alpha 90.00
_cell_angle_beta 90.00
_cell_angle_gamma 90.00
loop_
_atom_site_label
_atom_site_type_symbol
_atom_site_fract_x
_atom_site_fract_y
_atom_site_fract_z
Tb1 Tb 0.0000 0.5000 0.2233
Tm1 Tm 0.0000 0.0000 0.5000
Be1 Be 0.0000 0.5000 0.8901
Be2 Be 0.5000 0.5000 0.5000
Pt1 Pt 0.0000 0.0000 0.0000
Pt2 Pt 0.0000 0.5000 0.6706
Pt3 Pt 0.5000 0.5000 0.0000
# Crystal system: tetragonal
# Calculated total energy: -0.213 hartree per atom
# Density of states at the Fermi level: 4.74 states/eV/f.u.
# Energy relative to the elements: -895 meV per atom
# Magnetic moment: 0.00 μB per formula unit

=====

No. 2
# Tb2Be3ZnPt4 PBE optimized geometry
data_Tb2Be3ZnPt4
_space_group_name_H-M_alt 'P -4 m 2'
_space_group_IT_number 115
_space_group_name_Hall 'P -4 -2'
_cell_length_a 4.0112
_cell_length_b 4.0112
_cell_length_c 10.0639
_cell_angle_alpha 90.00
_cell_angle_beta 90.00
_cell_angle_gamma 90.00
loop_
_atom_site_label
_atom_site_type_symbol
_atom_site_fract_x
_atom_site_fract_y
_atom_site_fract_z
Tb1 Tb 0.0000 0.5000 0.2421
Be1 Be 0.0000 0.5000 0.8810
Be2 Be 0.5000 0.5000 0.5000
Zn1 Zn 0.0000 0.0000 0.5000
Pt1 Pt 0.0000 0.0000 0.0000
Pt2 Pt 0.0000 0.5000 0.6510
Pt3 Pt 0.5000 0.5000 0.0000
# Crystal system: tetragonal
# Calculated total energy: -0.201 hartree per atom
# Density of states at the Fermi level: 4.40 states/eV/f.u.
# Energy relative to the elements: -887 meV per atom
# Magnetic moment: 0.00 μB per formula unit

=====

No. 3
# TbBeZnPt3 PBE optimized geometry
data_TbBeZnPt3
_space_group_name_H-M_alt 'C m c m'
_space_group_IT_number 63
_space_group_name_Hall '-C 2c 2'
_cell_length_a 6.9222
_cell_length_b 11.3506
_cell_length_c 5.5195
_cell_angle_alpha 90.00
_cell_angle_beta 90.00
_cell_angle_gamma 90.00
loop_
_atom_site_label
_atom_site_type_symbol
_atom_site_fract_x
_atom_site_fract_y
_atom_site_fract_z
Tb1 Tb 0.0000 0.2005 0.2500
Be1 Be 0.0000 0.1128 0.7500
Zn1 Zn 0.0000 0.4648 0.2500
Pt1 Pt 0.0000 0.3071 0.7500
Pt2 Pt 0.2001 0.0000 0.0000
# Crystal system: orthorhombic
# Calculated total energy: -0.193 hartree per atom
# Density of states at the Fermi level: 2.32 states/eV/f.u.
# Energy relative to the elements: -630 meV per atom
# Magnetic moment: 0.00 μB per formula unit

=====

No. 4
# Tb2Be2ZnPt5 PBE optimized geometry
data_Tb2Be2ZnPt5
_space_group_name_H-M_alt 'P 4/m b m'
_space_group_IT_number 127
_space_group_name_Hall '-P 4 2ab'
_cell_length_a 9.5232
_cell_length_b 9.5232
_cell_length_c 3.5111
_cell_angle_alpha 90.00
_cell_angle_beta 90.00
_cell_angle_gamma 90.00
loop_
_atom_site_label
_atom_site_type_symbol
_atom_site_fract_x
_atom_site_fract_y
_atom_site_fract_z
Tb1 Tb 0.1782 0.3218 0.0000
Be1 Be 0.1194 0.6194 0.0000
Zn1 Zn 0.0000 0.0000 0.0000
Pt1 Pt 0.0000 0.5000 0.5000
Pt2 Pt 0.0665 0.7869 0.5000
# Crystal system: tetragonal
# Calculated total energy: -0.212 hartree per atom
# Density of states at the Fermi level: 3.71 states/eV/f.u.
# Energy relative to the elements: -957 meV per atom
# Magnetic moment: 0.00 μB per formula unit